Below is ZrTl2W after structural relaxation, with properties calculated at the PBE-GGA level.

Lattice parameters (Å, degrees): 4.8075 3.1045 5.9233 77.61 90.00 90.00
Positions (direct):
1 Tl 0.0000 0.0496 0.9824
2 Tl 0.5000 0.2368 0.2738
3 W 0.0000 0.5218 0.4979
4 Zr 0.5000 0.6918 0.7459

## Properties
- VASP energy (eV per atom) = -5.97
- DOS(E_F) (states/eV per cell) = 2.516